VASP calculation (PBE) on a relaxed Zn3AsW crystal.

Cell: 4.7204 4.7204 4.7204 Å, 90.00 90.00 90.00°
Closest atoms and distances in Å follow each position.
Space group Pm-3m (No. 221)
Unique sites:
Zn (0.0000, 0.0000, 0.5000) x3  2 As 2.36
As (0.0000, 0.0000, 0.0000) x1  6 Zn 2.36
W (0.5000, 0.5000, 0.5000) x1  12 Zn 3.34

Computed properties:
- Polymorph energy (0 for the lowest one): 52 meV per atom
- Density of states at the Fermi level: 1.9 states/eV/cell
- Crystal system: cubic
- V: 21.04 Å³/atom